VASP calculation (PBE) on a geometry-optimized Zr2In2CuNi3 structure.

The value obtained for the total DFT energy (no corrections) is -45.8 eV/cell.

The space group is P3m1 (No. 156) and the conventional cell measures 4.3464, 4.3464 and 8.0058 Å, with angles of 90.00, 90.00 and 120.00 degrees. The asymmetric unit holds Zr at (0.0000, 0.0000, 0.0000), Zr at (0.3333, 0.6667, 0.4883), In at (0.6667, 0.3333, 0.2449), In at (0.6667, 0.3333, 0.7541), Cu at (0.0000, 0.0000, 0.6516), Ni at (0.0000, 0.0000, 0.3393), Ni at (0.3333, 0.6667, 0.1533) and Ni at (0.3333, 0.6667, 0.8336).